# 1
{"formula": "Dy2ErPuTl4", "functional": "GGA-PBE", "state": "optimized geometry", "cell": [[5.374, 0.000, 0.000], [2.687, 4.654, 0.000], [2.687, 1.551, 8.778]], "species": ["Dy", "Dy", "Er", "Pu", "Tl", "Tl", "Tl", "Tl"], "fractional_positions": [[0.752, 0.752, 0.745], [0.248, 0.248, 0.255], [0.000, 0.000, 0.000], [0.500, 0.500, 0.500], [0.373, 0.373, 0.881], [0.877, 0.877, 0.369], [0.123, 0.123, 0.631], [0.627, 0.627, 0.119]], "magmom_total_mub_per_fu": 6.41, "sg": "No. 166", "formation_enthalpy_0k_mev_per_atom": -232}

# 2
{"formula": "DyEr2Tm4Pu", "functional": "GGA-PBE", "state": "optimized geometry", "cell": [[-1.726, -3.360, -9.099], [-3.854, -8.201, 3.754], [0.267, 12.009, 0.875]], "species": ["Dy", "Dy", "Er", "Er", "Er", "Er", "Tm", "Tm", "Tm", "Tm", "Tm", "Tm", "Tm", "Tm", "Pu", "Pu"], "fractional_positions": [[0.500, 0.500, 0.500], [0.000, 0.000, 0.000], [0.500, 0.000, 0.000], [0.500, 0.000, 0.500], [0.000, 0.000, 0.500], [0.500, 0.500, 0.000], [0.247, 0.745, 0.996], [0.754, 0.252, 0.503], [0.246, 0.747, 0.497], [0.754, 0.255, 0.004], [0.753, 0.753, 0.004], [0.754, 0.754, 0.503], [0.246, 0.246, 0.497], [0.246, 0.247, 0.996], [0.000, 0.500, 0.000], [0.000, 0.500, 0.500]], "magmom_total_mub_per_fu": 6.55, "sg": "No. 10", "formation_enthalpy_0k_mev_per_atom": 55}

# 3
{"formula": "DyEr4Tm2Pu", "functional": "GGA-PBE", "state": "optimized geometry", "cell": [[-3.236, -4.545, -4.170], [7.860, -8.591, 3.227], [-8.350, 7.941, 3.690]], "species": ["Dy", "Dy", "Er", "Er", "Er", "Er", "Er", "Er", "Er", "Er", "Tm", "Tm", "Tm", "Tm", "Pu", "Pu"], "fractional_positions": [[0.500, 0.500, 0.500], [0.000, 0.000, 0.000], [0.246, 0.746, 0.996], [0.754, 0.254, 0.504], [0.246, 0.746, 0.496], [0.754, 0.254, 0.004], [0.753, 0.747, 0.002], [0.753, 0.747, 0.501], [0.247, 0.253, 0.499], [0.247, 0.253, 0.998], [0.500, 0.000, 0.000], [0.500, 0.000, 0.500], [0.000, 0.000, 0.500], [0.500, 0.500, 0.000], [0.000, 0.500, 0.000], [0.000, 0.500, 0.500]], "magmom_total_mub_per_fu": 6.20, "sg": "No. 12", "formation_enthalpy_0k_mev_per_atom": 53}

# 4
{"formula": "Dy2ErTm4Pu", "functional": "GGA-PBE", "state": "optimized geometry", "cell": [[-5.706, 3.730, 1.436], [-5.785, -10.056, 3.300], [9.499, 7.222, 1.875]], "species": ["Dy", "Dy", "Dy", "Dy", "Er", "Er", "Tm", "Tm", "Tm", "Tm", "Tm", "Tm", "Tm", "Tm", "Pu", "Pu"], "fractional_positions": [[0.500, 0.000, 0.000], [0.500, 0.000, 0.500], [0.000, 0.000, 0.500], [0.500, 0.500, 0.000], [0.500, 0.500, 0.500], [0.000, 0.000, 0.000], [0.245, 0.746, 0.995], [0.755, 0.255, 0.504], [0.245, 0.745, 0.496], [0.754, 0.254, 0.005], [0.753, 0.747, 0.001], [0.753, 0.747, 0.502], [0.247, 0.254, 0.498], [0.247, 0.253, 0.999], [0.000, 0.500, 0.000], [0.000, 0.500, 0.500]], "magmom_total_mub_per_fu": 6.21, "sg": "No. 2", "formation_enthalpy_0k_mev_per_atom": 53}

# 5
{"formula": "Dy2Er6Tm3Pu", "functional": "GGA-PBE", "state": "optimized geometry", "cell": [[6.060, -0.001, -0.001], [-3.030, 5.248, -0.001], [-1.011, -1.750, 11.377]], "species": ["Dy", "Dy", "Er", "Er", "Er", "Er", "Er", "Er", "Tm", "Tm", "Tm", "Pu"], "fractional_positions": [[0.333, 0.667, 0.000], [0.667, 0.333, 0.000], [0.917, 0.587, 0.750], [0.753, 0.753, 0.250], [0.083, 0.413, 0.250], [0.587, 0.917, 0.750], [0.247, 0.247, 0.750], [0.413, 0.083, 0.250], [0.167, 0.833, 0.500], [0.833, 0.167, 0.500], [0.500, 0.500, 0.500], [0.000, 0.000, 0.000]], "magmom_total_mub_per_fu": 6.46, "sg": "No. 12", "formation_enthalpy_0k_mev_per_atom": 45}

# 6
{"formula": "Dy3Y6Er2Pu", "functional": "GGA-PBE", "state": "optimized geometry", "cell": [[-2.840, 2.853, -4.627], [-3.285, -2.565, 4.499], [2.387, 9.803, 5.936]], "species": ["Dy", "Dy", "Dy", "Y", "Y", "Y", "Y", "Y", "Y", "Er", "Er", "Pu"], "fractional_positions": [[0.167, 0.833, 0.500], [0.833, 0.167, 0.500], [0.500, 0.500, 0.500], [0.918, 0.588, 0.752], [0.752, 0.752, 0.248], [0.082, 0.412, 0.248], [0.588, 0.918, 0.752], [0.248, 0.248, 0.752], [0.412, 0.082, 0.248], [0.333, 0.667, 0.000], [0.667, 0.333, 0.000], [0.000, 0.000, 0.000]], "magmom_total_mub_per_fu": 6.55, "sg": "No. 12", "formation_enthalpy_0k_mev_per_atom": 49}

# 7
{"formula": "Dy6Y3Er2Pu", "functional": "GGA-PBE", "state": "optimized geometry", "cell": [[-4.344, -3.119, -2.974], [0.637, -0.653, 6.051], [-6.144, 9.907, 0.684]], "species": ["Dy", "Dy", "Dy", "Dy", "Dy", "Dy", "Y", "Y", "Y", "Er", "Er", "Pu"], "fractional_positions": [[0.917, 0.588, 0.753], [0.753, 0.753, 0.247], [0.083, 0.412, 0.247], [0.588, 0.917, 0.753], [0.247, 0.247, 0.753], [0.412, 0.083, 0.247], [0.167, 0.833, 0.500], [0.833, 0.167, 0.500], [0.500, 0.500, 0.500], [0.333, 0.667, 0.000], [0.667, 0.333, 0.000], [0.000, 0.000, 0.000]], "magmom_total_mub_per_fu": 6.57, "sg": "No. 12", "formation_enthalpy_0k_mev_per_atom": 45}

# 8
{"formula": "Dy2Y3Er6Pu", "functional": "GGA-PBE", "state": "optimized geometry", "cell": [[6.097, -0.001, -0.017], [-3.048, 5.281, -0.017], [-0.987, -1.709, 11.462]], "species": ["Dy", "Dy", "Y", "Y", "Y", "Er", "Er", "Er", "Er", "Er", "Er", "Pu"], "fractional_positions": [[0.333, 0.667, 0.000], [0.667, 0.333, 0.000], [0.167, 0.833, 0.500], [0.833, 0.167, 0.500], [0.500, 0.500, 0.500], [0.918, 0.588, 0.753], [0.753, 0.753, 0.247], [0.082, 0.412, 0.247], [0.588, 0.918, 0.753], [0.247, 0.247, 0.753], [0.412, 0.082, 0.247], [0.000, 0.000, 0.000]], "magmom_total_mub_per_fu": 6.42, "sg": "No. 12", "formation_enthalpy_0k_mev_per_atom": 46}

# 9
{"formula": "DyYErPu", "functional": "GGA-PBE", "state": "optimized geometry", "cell": [[-2.679, -1.135, 4.754], [0.153, -5.151, 2.124], [2.893, -1.010, 4.656]], "species": ["Y", "Er", "Dy", "Pu"], "fractional_positions": [[0.250, 0.250, 0.250], [0.000, 0.000, 0.000], [0.500, 0.500, 0.500], [0.750, 0.750, 0.750]], "magmom_total_mub_per_fu": 7.07, "sg": "No. 216", "formation_enthalpy_0k_mev_per_atom": 194}

# 10
{"formula": "Dy3Y2Er6Pu", "functional": "GGA-PBE", "state": "optimized geometry", "cell": [[6.076, -0.027, 0.436], [-3.060, 5.249, 0.436], [0.186, 0.322, 11.617]], "species": ["Dy", "Dy", "Dy", "Y", "Y", "Er", "Er", "Er", "Er", "Er", "Er", "Pu"], "fractional_positions": [[0.167, 0.833, 0.500], [0.833, 0.167, 0.500], [0.500, 0.500, 0.500], [0.333, 0.667, 0.000], [0.667, 0.333, 0.000], [0.084, 0.413, 0.751], [0.246, 0.246, 0.249], [0.916, 0.587, 0.249], [0.413, 0.084, 0.751], [0.754, 0.754, 0.751], [0.587, 0.916, 0.249], [0.000, 0.000, 0.000]], "magmom_total_mub_per_fu": 6.47, "sg": "No. 12", "formation_enthalpy_0k_mev_per_atom": 47}

# 11
{"formula": "RbDyEr2", "functional": "GGA-PBE", "state": "optimized geometry", "cell": [[-2.632, -0.842, -2.286], [-0.621, -3.432, -0.834], [-9.490, -2.335, 8.974]], "species": ["Dy", "Rb", "Er", "Er"], "fractional_positions": [[0.500, 0.500, 0.500], [0.000, 0.000, 0.000], [0.096, 0.096, 0.713], [0.904, 0.904, 0.287]], "magmom_total_mub_per_fu": 0.00, "sg": "No. 166", "formation_enthalpy_0k_mev_per_atom": 316}

# 12
{"formula": "Rb2DyErS4", "functional": "GGA-PBE", "state": "optimized geometry", "cell": [[-4.025, -0.077, -0.548], [-0.012, -6.955, 1.072], [-1.043, 3.477, 7.167]], "species": ["Rb", "Rb", "Dy", "Er", "S", "S", "S", "S"], "fractional_positions": [[0.500, 0.000, 0.500], [0.000, 0.500, 0.500], [0.500, 0.500, 0.000], [0.000, 0.000, 0.000], [0.500, 0.228, 0.191], [0.500, 0.772, 0.809], [0.000, 0.268, 0.809], [0.000, 0.732, 0.191]], "magmom_total_mub_per_fu": 0.00, "sg": "No. 10", "raw_formation_energy_ev_per_fu": -14.84}

# 13
{"formula": "RbDyEr4S8", "functional": "GGA-PBE", "state": "optimized geometry", "cell": [[8.201, 0.000, 0.000], [4.101, 7.102, 0.000], [4.101, 2.367, 6.742]], "species": ["Rb", "Dy", "Er", "Er", "Er", "Er", "S", "S", "S", "S", "S", "S", "S", "S"], "fractional_positions": [[0.373, 0.373, 0.880], [0.005, 0.005, 0.985], [0.625, 0.625, 0.125], [0.004, 0.486, 0.505], [0.486, 0.004, 0.505], [0.004, 0.004, 0.505], [0.233, 0.807, 0.728], [0.807, 0.233, 0.728], [0.233, 0.233, 0.728], [0.230, 0.230, 0.309], [0.756, 0.229, 0.258], [0.229, 0.756, 0.258], [0.756, 0.756, 0.258], [0.757, 0.757, 0.729]], "magmom_total_mub_per_fu": 0.00, "sg": "No. 160", "raw_formation_energy_ev_per_fu": -26.55}

# 14
{"formula": "Rb3Dy3ErS8", "functional": "GGA-PBE", "state": "optimized geometry", "cell": [[-1.541, 3.507, 7.075], [-5.805, -4.056, -3.827], [6.522, -5.019, 3.907]], "species": ["Rb", "Rb", "Rb", "Dy", "Dy", "Dy", "Er", "S", "S", "S", "S", "S", "S", "S", "S"], "fractional_positions": [[0.000, 0.000, 0.000], [0.000, 0.500, 0.000], [0.500, 0.500, 0.000], [0.500, 0.000, 0.500], [0.500, 0.500, 0.500], [0.000, 0.500, 0.500], [0.000, 0.000, 0.500], [0.270, 0.539, 0.309], [0.730, 0.461, 0.691], [0.772, 0.544, 0.313], [0.228, 0.456, 0.687], [0.772, 0.040, 0.313], [0.228, 0.960, 0.687], [0.268, 0.040, 0.313], [0.732, 0.960, 0.687]], "magmom_total_mub_per_fu": 0.00, "sg": "No. 166", "raw_formation_energy_ev_per_fu": -26.65}

# 15
{"formula": "Rb3Dy3ErSe8", "functional": "GGA-PBE", "state": "optimized geometry", "cell": [[-2.886, -7.463, 2.287], [7.095, 0.575, -4.319], [0.448, 2.618, 9.125]], "species": ["Rb", "Rb", "Rb", "Dy", "Dy", "Dy", "Er", "Se", "Se", "Se", "Se", "Se", "Se", "Se", "Se"], "fractional_positions": [[0.000, 0.000, 0.000], [0.000, 0.500, 0.000], [0.500, 0.500, 0.000], [0.500, 0.000, 0.500], [0.500, 0.500, 0.500], [0.000, 0.500, 0.500], [0.000, 0.000, 0.500], [0.268, 0.536, 0.304], [0.732, 0.464, 0.696], [0.770, 0.539, 0.307], [0.230, 0.461, 0.693], [0.770, 0.037, 0.307], [0.230, 0.963, 0.693], [0.268, 0.037, 0.308], [0.732, 0.963, 0.692]], "magmom_total_mub_per_fu": 0.00, "sg": "No. 12", "raw_formation_energy_ev_per_fu": -25.03}

# 16
{"formula": "Rb4DyEr3Se8", "functional": "GGA-PBE", "state": "optimized geometry", "cell": [[-1.411, -5.208, 6.482], [7.261, 3.730, 4.578], [-6.041, 5.316, -2.531]], "species": ["Rb", "Rb", "Rb", "Rb", "Dy", "Er", "Er", "Er", "Se", "Se", "Se", "Se", "Se", "Se", "Se", "Se"], "fractional_positions": [[0.500, 0.000, 0.000], [0.500, 0.000, 0.500], [0.000, 0.000, 0.000], [0.000, 0.000, 0.500], [0.000, 0.500, 0.000], [0.500, 0.500, 0.000], [0.500, 0.500, 0.500], [0.000, 0.500, 0.500], [0.232, 0.695, 0.962], [0.232, 0.695, 0.465], [0.269, 0.306, 0.537], [0.730, 0.695, 0.962], [0.270, 0.305, 0.038], [0.731, 0.694, 0.463], [0.768, 0.305, 0.535], [0.768, 0.305, 0.038]], "magmom_total_mub_per_fu": 0.00, "sg": "No. 166", "raw_formation_energy_ev_per_fu": -27.73}

# 17
{"formula": "Rb3DyEr3Se8", "functional": "GGA-PBE", "state": "optimized geometry", "cell": [[-4.123, -7.034, -1.431], [7.798, -0.265, 2.776], [-6.574, 2.564, 6.338]], "species": ["Rb", "Rb", "Rb", "Dy", "Er", "Er", "Er", "Se", "Se", "Se", "Se", "Se", "Se", "Se", "Se"], "fractional_positions": [[0.000, 0.000, 0.000], [0.000, 0.500, 0.000], [0.500, 0.500, 0.000], [0.000, 0.000, 0.500], [0.500, 0.000, 0.500], [0.500, 0.500, 0.500], [0.000, 0.500, 0.500], [0.268, 0.537, 0.306], [0.732, 0.463, 0.694], [0.767, 0.535, 0.307], [0.233, 0.465, 0.693], [0.767, 0.039, 0.307], [0.233, 0.961, 0.693], [0.272, 0.039, 0.307], [0.728, 0.961, 0.693]], "magmom_total_mub_per_fu": 0.00, "sg": "No. 12", "raw_formation_energy_ev_per_fu": -24.99}

# 18
{"formula": "Rb3Dy2ErSe6", "functional": "GGA-PBE", "state": "optimized geometry", "cell": [[7.328, -0.001, 0.000], [-3.663, 6.347, 0.000], [-1.222, -2.116, 7.991]], "species": ["Rb", "Rb", "Rb", "Dy", "Dy", "Er", "Se", "Se", "Se", "Se", "Se", "Se"], "fractional_positions": [[0.167, 0.833, 0.500], [0.833, 0.167, 0.500], [0.500, 0.500, 0.500], [0.333, 0.667, 0.000], [0.667, 0.333, 0.000], [0.000, 0.000, 0.000], [0.935, 0.604, 0.805], [0.734, 0.734, 0.195], [0.065, 0.396, 0.195], [0.604, 0.935, 0.805], [0.266, 0.266, 0.805], [0.396, 0.065, 0.195]], "magmom_total_mub_per_fu": 0.00, "sg": "No. 12", "raw_formation_energy_ev_per_fu": -20.84}

# 19
{"formula": "RbDyEr4Se8", "functional": "GGA-PBE", "state": "optimized geometry", "cell": [[-0.181, -1.810, 8.373], [-6.903, -3.747, 3.424], [0.430, -8.192, 2.622]], "species": ["Rb", "Dy", "Er", "Er", "Er", "Er", "Se", "Se", "Se", "Se", "Se", "Se", "Se", "Se"], "fractional_positions": [[0.373, 0.373, 0.881], [0.005, 0.005, 0.984], [0.625, 0.625, 0.124], [0.005, 0.486, 0.505], [0.486, 0.005, 0.505], [0.005, 0.005, 0.505], [0.234, 0.803, 0.729], [0.803, 0.234, 0.729], [0.234, 0.234, 0.729], [0.231, 0.231, 0.306], [0.757, 0.229, 0.258], [0.229, 0.757, 0.258], [0.757, 0.757, 0.258], [0.757, 0.757, 0.728]], "magmom_total_mub_per_fu": 0.00, "sg": "No. 160", "raw_formation_energy_ev_per_fu": -23.88}

# 20
{"formula": "Rb2DyErSe4", "functional": "GGA-PBE", "state": "optimized geometry", "cell": [[4.226, 0.000, 0.000], [0.000, 7.318, 0.125], [0.000, -2.574, 7.948]], "species": ["Rb", "Rb", "Dy", "Er", "Se", "Se", "Se", "Se"], "fractional_positions": [[0.500, 0.000, 0.500], [0.000, 0.500, 0.500], [0.500, 0.500, 0.000], [0.000, 0.000, 0.000], [0.500, 0.230, 0.194], [0.500, 0.770, 0.806], [0.000, 0.267, 0.805], [0.000, 0.733, 0.195]], "magmom_total_mub_per_fu": 0.00, "sg": "No. 10", "raw_formation_energy_ev_per_fu": -13.88}

Calculated mass density in order - 11.8; 9.9; 9.8; 9.8; 9.5; 7.1; 8.1; 8.3; 9.0; 8.6; 6.6; 4.8; 5.0; 4.4; 5.2; 5.5; 5.3; 5.5; 5.7; 5.5 g/cm³